Entry 1:
An optimized crystal structure of KLiCd2. Source: Alexandria via LeMat-Bulk, functional GGA-PBE.

Energy of formation: -0.13 eV/f.u.
D(E_F): 1.26 states/eV/f.u.
Distance to the lowest polymorph of the same formula: 0.080 eV/atom
VASP energy: -1.243 eV/atom
M_tot: 0.00 μB/f.u.

abc: 3.730 3.730 8.239
angles: 90.00 90.00 90.00
Positions (direct):
Cd1 0.000 0.000 0.974
Cd2 0.500 0.500 0.195
K1 0.000 0.000 0.496
Li1 0.500 0.500 0.835

***

Entry 2:
An optimized crystal structure of GaI. Source: Alexandria via LeMat-Bulk, functional GGA-PBE.

VASP energy: -2.590 eV/atom
M_tot: 0.00 μB/f.u.
Energy relative to the elements, uncorrected: -301 meV/atom

abc: 4.514 8.349 7.819
angles: 90.00 90.00 90.00
Positions (direct):
Ga1 0.750 0.744 0.083
Ga2 0.250 0.756 0.583
Ga3 0.250 0.256 0.917
Ga4 0.750 0.244 0.417
I1 0.750 0.000 0.749
I2 0.250 0.500 0.249
I3 0.250 0.000 0.251
I4 0.750 0.500 0.751

***

Entry 3:
An optimized crystal structure of ZrCdInAu. Source: Alexandria via LeMat-Bulk, functional GGA-PBE.

Energy of formation: -1.17 eV/f.u.
D(E_F): 2.78 states/eV/f.u.
VASP energy: -4.163 eV/atom
M_tot: 0.00 μB/f.u.

abc: 4.417 4.213 4.477
angles: 90.00 90.00 90.00
Positions (direct):
Zr1 0.500 0.000 0.500
Cd1 0.000 0.000 0.000
In1 0.000 0.500 0.500
Au1 0.500 0.500 0.000

***

Entry 4:
An optimized crystal structure of BeCoIrW. Source: Alexandria via LeMat-Bulk, functional GGA-PBE.

Energy of formation: -0.45 eV/f.u.
D(E_F): 1.39 states/eV/f.u.
VASP energy: -8.275 eV/atom
M_tot: 1.98 μB/f.u.

abc: 4.190 4.190 4.190
angles: 60.00 60.00 60.00
Last column: magnetic moment on the atom in μB.
Positions (direct):
Be1 0.500 0.500 0.500  0.01
Ir1 0.750 0.750 0.750  0.21
Co1 0.250 0.250 0.250  1.52
W1 0.000 0.000 0.000  0.24

***

Entry 5:
An optimized crystal structure of ZrTcW2. Source: Alexandria via LeMat-Bulk, functional GGA-PBE.

Energy of formation: 0.85 eV/f.u.
D(E_F): 2.89 states/eV/f.u.
Distance to the lowest polymorph of the same formula: 0.296 eV/atom
VASP energy: -10.992 eV/atom
M_tot: 0.00 μB/f.u.

abc: 4.781 3.807 3.807
angles: 90.00 90.00 90.00
Positions (direct):
Tc1 0.500 0.000 0.500
W1 0.000 0.000 0.000
W2 0.000 0.500 0.500
Zr1 0.500 0.500 0.000

***

Entry 6:
An optimized crystal structure of Ti3VPd. Source: Alexandria via LeMat-Bulk, functional GGA-PBE.

Energy of formation: -0.99 eV/f.u.
D(E_F): 6.92 states/eV/f.u.
Distance to the lowest polymorph of the same formula: 0.000 eV/atom
VASP energy: -7.797 eV/atom
M_tot: 0.00 μB/f.u.

abc: 4.717 7.388 7.389
angles: 137.98 71.40 108.59
Positions (direct):
Ti1 0.684 0.657 0.790
Ti2 0.316 0.790 0.657
Ti3 0.449 0.413 0.014
Ti4 0.551 0.014 0.413
Ti5 0.088 0.754 0.079
Ti6 0.912 0.079 0.754
V1 0.000 0.189 0.189
V2 0.500 0.189 0.189
Pd1 0.889 0.597 0.317
Pd2 0.110 0.317 0.597

***

Entry 7:
An optimized crystal structure of Rb2UMnSe6. Source: Alexandria via LeMat-Bulk, functional GGA-PBE.

D(E_F): 9.01 states/eV/f.u.
VASP energy: -5.162 eV/atom
M_tot: 4.32 μB/f.u.
Energy relative to the elements, uncorrected: -832 meV/atom

abc: 7.420 7.420 10.473
angles: 90.00 90.00 90.00
Last column: magnetic moment on the atom in μB.
Positions (direct):
Rb1 0.500 0.750 0.250  0.00
Rb2 0.000 0.250 0.750  0.00
Rb3 0.500 0.750 0.750  0.00
Rb4 0.000 0.250 0.250  0.00
U1 0.500 0.250 0.500  0.45
U2 0.000 0.750 0.000  0.45
Mn1 0.000 0.750 0.500  3.70
Mn2 0.500 0.250 0.000  3.70
Se1 0.500 0.250 0.244  -0.02
Se2 0.500 0.250 0.756  -0.02
Se3 0.000 0.750 0.256  -0.02
Se4 0.000 0.750 0.744  -0.02
Se5 0.245 0.994 0.500  -0.01
Se6 0.755 0.994 0.500  -0.01
Se7 0.245 0.504 0.500  -0.01
Se8 0.755 0.504 0.500  -0.01
Se9 0.745 0.496 0.000  -0.01
Se10 0.255 0.496 0.000  -0.01
Se11 0.255 0.006 0.000  -0.01
Se12 0.745 0.006 0.000  -0.01

***

Entry 8:
An optimized crystal structure of Cs3Tb3PuS8. Source: Alexandria via LeMat-Bulk, functional GGA-PBE.

D(E_F): 11.67 states/eV/f.u.
VASP energy: -6.018 eV/atom
M_tot: 4.00 μB/f.u.
Energy relative to the elements, uncorrected: -1764 meV/atom

abc: 8.148 8.148 9.456
angles: 115.54 90.00 120.00
Last column: magnetic moment on the atom in μB.
Positions (direct):
Cs1 0.000 0.000 0.000  0.00
Cs2 0.000 0.500 0.000  0.00
Cs3 0.500 0.500 0.000  0.00
Tb1 0.500 0.000 0.500  0.00
Tb2 0.500 0.500 0.500  0.00
Tb3 0.000 0.500 0.500  0.00
Pu1 0.000 0.000 0.500  4.51
S1 0.273 0.546 0.320  0.00
S2 0.727 0.454 0.680  0.00
S3 0.778 0.556 0.324  -0.07
S4 0.222 0.444 0.676  -0.07
S5 0.778 0.045 0.324  -0.07
S6 0.222 0.955 0.676  -0.07
S7 0.267 0.045 0.324  -0.07
S8 0.733 0.955 0.676  -0.07

***

Entry 9:
An optimized crystal structure of ZrPdI2O. Source: Alexandria via LeMat-Bulk, functional GGA-PBE.

D(E_F): 3.98 states/eV/f.u.
Distance to the lowest polymorph of the same formula: 0.000 eV/atom
VASP energy: -5.149 eV/atom
M_tot: 0.00 μB/f.u.
Energy relative to the elements, uncorrected: -789 meV/atom

abc: 5.806 5.806 3.988
angles: 90.00 90.00 90.00
Positions (direct):
I1 0.000 0.500 0.000
I2 0.500 0.000 0.000
O1 0.000 0.000 0.500
Zr1 0.000 0.000 0.000
Pd1 0.500 0.500 0.500

***

Entry 10:
An optimized crystal structure of CsYMnBr6. Source: Alexandria via LeMat-Bulk, functional GGA-PBE.

D(E_F): 0.00 states/eV/f.u.
VASP energy: -4.470 eV/atom
M_tot: 5.00 μB/f.u.
Energy relative to the elements, uncorrected: -1523 meV/atom

abc: 7.207 7.208 8.155
angles: 90.01 89.99 59.97
Last column: magnetic moment on the atom in μB.
Positions (direct):
Cs1 0.000 0.000 0.000  0.00
Y1 0.333 0.333 0.500  0.01
Mn1 0.666 0.667 0.500  4.41
Br1 0.989 0.383 0.304  0.03
Br2 0.383 0.989 0.696  0.03
Br3 0.628 0.383 0.696  0.03
Br4 0.989 0.628 0.696  0.03
Br5 0.383 0.628 0.304  0.03
Br6 0.628 0.989 0.304  0.03

***

Entry 11:
An optimized crystal structure of BaHg4Te. Source: Alexandria via LeMat-Bulk, functional GGA-PBE.

D(E_F): 0.77 states/eV/f.u.
VASP energy: -1.466 eV/atom
M_tot: 0.00 μB/f.u.
Energy relative to the elements, uncorrected: -420 meV/atom

abc: 6.436 6.436 6.436
angles: 60.00 60.00 60.00
Positions (direct):
Ba1 0.000 0.000 0.000
Hg1 0.376 0.871 0.376
Hg2 0.871 0.376 0.376
Hg3 0.376 0.376 0.871
Hg4 0.376 0.376 0.376
Te1 0.750 0.750 0.750

***

Entry 12:
An optimized crystal structure of HfMgTiMo. Source: Alexandria via LeMat-Bulk, functional GGA-PBE.

Energy of formation: 0.31 eV/f.u.
D(E_F): 5.02 states/eV/f.u.
VASP energy: -7.491 eV/atom
M_tot: 0.00 μB/f.u.

abc: 4.692 4.692 4.692
angles: 60.00 60.00 60.00
Positions (direct):
Mo1 0.500 0.500 0.500
Hf1 0.250 0.250 0.250
Mg1 0.000 0.000 0.000
Ti1 0.750 0.750 0.750